# 1
Density functional theory data (PBE) for crystalline SmHoTe2O at its relaxed geometry.

The structure in POSCAR format:
```
SmHoTe2O
1.0
4.1766 0.0000 0.0000
0.0000 4.1766 0.0000
0.0000 0.0000 15.7381
Sm O Te Ho
2 2 4 2
Direct
0.0000 0.5000 0.4313 Sm
0.5000 0.0000 0.5687 Sm
0.0000 0.0000 0.5000 O
0.5000 0.5000 0.5000 O
0.0000 0.5000 0.0840 Te
0.5000 0.0000 0.3115 Te
0.0000 0.5000 0.6885 Te
0.5000 0.0000 0.9160 Te
0.5000 0.0000 0.1306 Ho
0.0000 0.5000 0.8694 Ho
```

Computed properties:
Total DFT energy (no corrections) in eV per atom: -6.167
Raw formation energy in meV per atom: -2059
SG: P4/nmm (129)
Calculated volume in Å³/atom: 27.454

=====

# 2
Density functional theory data (PBE) for crystalline YCo2Ni at its relaxed geometry.

The structure in POSCAR format:
```
YCo2Ni
1.0
-2.9533 2.5210 -2.0108
-0.5541 -5.0280 -1.0746
-2.3806 -0.8942 1.6971
Ni Y Co
1 1 2
Direct
0.0000 0.5000 0.5000 Ni
0.5000 0.5000 0.0000 Y
0.5000 0.0000 0.5000 Co
0.0000 0.0000 0.0000 Co
```

Computed properties:
Total DFT energy (no corrections) in eV per atom: -6.328
Formation energy in kJ per mole of atoms: 28
SG: C2/m (12)
Calculated volume in Å³/atom: 14.983

=====

# 3
Density functional theory data (PBE) for crystalline NdGa6 at its relaxed geometry.

The structure in POSCAR format:
```
NdGa6
1.0
6.0539 0.0000 0.0000
0.0000 6.0539 0.0000
0.0000 0.0000 7.6744
Ga Nd
12 2
Direct
0.1847 0.3153 0.3522 Ga
0.6847 0.8153 0.6478 Ga
0.8153 0.6847 0.3522 Ga
0.6847 0.1847 0.3522 Ga
0.8153 0.3153 0.6478 Ga
0.1847 0.6847 0.6478 Ga
0.0000 0.0000 0.8368 Ga
0.5000 0.5000 0.1632 Ga
0.3153 0.1847 0.6478 Ga
0.3153 0.8153 0.3522 Ga
0.5000 0.5000 0.8368 Ga
0.0000 0.0000 0.1632 Ga
0.0000 0.5000 0.0000 Nd
0.5000 0.0000 0.0000 Nd
```

Computed properties:
Total DFT energy (no corrections) in eV per atom: -3.620
Energy relative to the lowest polymorph listed for this composition in meV per atom: 0
Formation energy in kJ per mole of atoms: -33
SG: P4/nbm (125)
Calculated volume in Å³/atom: 20.090

=====

# 4
Density functional theory data (PBE) for crystalline PaSn2Mo at its relaxed geometry.

The structure in POSCAR format:
```
PaSn2Mo
1.0
-4.6730 1.3780 -1.0270
-3.8206 -2.3527 2.1582
-2.7256 2.3278 3.4558
Sn Mo Pa
2 1 1
Direct
0.2500 0.2500 0.2500 Sn
0.7500 0.7500 0.7500 Sn
0.5000 0.5000 0.5000 Mo
0.0000 0.0000 0.0000 Pa
```

Computed properties:
Total DFT energy (no corrections) in eV per atom: -7.040
Energy relative to the lowest polymorph listed for this composition in meV per atom: 0
Formation energy in kJ per mole of atoms: 4
SG: Fm-3m (225)
Calculated volume in Å³/atom: 21.820

=====

# 5
Density functional theory data (PBE) for crystalline BeTe2Se at its relaxed geometry.

The structure in POSCAR format:
```
BeTe2Se
1.0
-2.1760 2.4705 1.8155
-1.0299 -1.7530 -3.1624
-3.5123 -6.6385 4.8238
Te Be Se
2 1 1
Direct
0.5000 0.5000 0.3057 Te
0.0000 0.0000 0.0268 Te
0.0000 0.0000 0.5184 Be
0.5000 0.5000 0.6491 Se
```

Computed properties:
Total DFT energy (no corrections) in eV per atom: -3.232
Energy relative to the lowest polymorph listed for this composition in meV per atom: 143
Raw formation energy in meV per atom: 141
SG: Cmm2 (35)
Calculated volume in Å³/atom: 26.258